1.
VASP calculation (GGA-PBE) on a relaxed KCaPb2 crystal.

The structure in extended XYZ format:
```
4
Lattice="3.5572 0.0000 0.0000 0.0000 3.5572 0.0000 0.0000 0.0000 10.3683" Properties=species:S:1:pos:R:3 pbc="T T T"
K 0.0000 0.0000 0.0000
Ca 0.0000 0.0000 5.1841
Pb 1.7786 1.7786 2.7927
Pb 1.7786 1.7786 7.5756
```

- Total energy: -2.9320 eV per atom
- Total magnetic moment: 0.000 μB/atom
- Mass density: 6.25 Mg/m³
- E_form: -303 meV per atom


2.
VASP calculation (GGA-PBE) on a relaxed Dy6Mg2Al crystal.

The structure in extended XYZ format:
```
18
Lattice="-4.8078 5.0869 5.2672 4.8078 -5.0869 5.2672 4.8078 5.0869 -5.2672" Properties=species:S:1:pos:R:3 pbc="T T T"
Dy 4.8078 3.2757 -2.6882
Dy 3.1375 0.0000 2.6012
Dy 6.4780 0.0000 2.6012
Dy 2.2895 3.1313 0.0000
Dy 2.5182 -1.9556 5.2672
Dy 0.0000 1.8112 2.5790
Dy 4.8078 3.2757 2.6882
Dy 2.2895 7.0424 0.0000
Dy 2.5182 1.9556 5.2672
Dy -1.6703 5.0869 2.6660
Dy 1.6703 5.0869 2.6660
Dy 0.0000 1.8112 7.9554
Mg 1.3757 0.0000 0.0000
Mg 8.2398 0.0000 0.0000
Mg 4.8078 1.3739 0.0000
Mg 0.0000 3.7130 5.2672
Al 0.0000 5.0869 0.0000
Al 0.0000 0.0000 5.2672
```

- Total energy: -3.8729 eV per atom
- Total magnetic moment: 0.000 μB/atom
- Mass density: 6.77 Mg/m³
- E_form: -35 meV per atom


3.
VASP calculation (GGA-PBE) on a relaxed NiHPt crystal.

The structure in extended XYZ format:
```
3
Lattice="2.3791 -1.3765 0.0000 2.3791 1.3765 0.0000 -1.6057 0.0000 4.5609" Properties=species:S:1:pos:R:3 pbc="T T T"
Ni 0.0000 0.0000 0.0000
H 1.5634 0.0000 3.9923
Pt 1.5779 0.0000 2.1500
```

- Total energy: -5.1040 eV per atom
- Total magnetic moment: 0.000 μB/atom
- Mass density: 14.16 Mg/m³
- Distance to the lowest polymorph of the same formula: 0 meV per atom


4.
VASP calculation (GGA-PBE) on a relaxed AcPm2ThN4 crystal.

The structure in extended XYZ format:
```
8
Lattice="6.3877 0.0000 0.0000 0.0000 3.6994 0.0000 -2.1339 0.0000 6.0688" Properties=species:S:1:pos:R:3 pbc="T T T"
Ac 0.0000 0.0000 0.0000
Pm 2.1269 0.0000 3.0344
Pm 3.1939 1.8497 0.0000
Th -1.0669 1.8497 3.0344
N 0.0087 0.0000 4.4636
N 1.0466 1.8497 1.6357
N 3.2072 1.8497 4.4331
N 4.2452 0.0000 1.6052
```

- Total energy: -8.1707 eV per atom
- Total magnetic moment: 0.000 μB/atom
- Mass density: 9.32 Mg/m³
- Formation energy (no corrections): -1379 meV per atom